## w
DFT (PBE) results for Pa2SbS after structural relaxation.

Structure (POSCAR):
```
Pa2SbS
1.0
-0.059 2.916 2.013
-3.542 -0.089 0.026
0.147 -4.107 5.954
Pa Sb S
2 1 1
Direct
0.000 0.000 0.267
0.000 0.000 0.733
0.500 0.500 0.000
0.500 0.500 0.500
```

## x
DFT (PBE) results for Pa2SbS after structural relaxation.

Structure (POSCAR):
```
Pa2SbS
1.0
-0.205 3.575 1.991
-2.101 0.274 3.507
4.865 -0.344 5.335
Pa S Sb
2 1 1
Direct
0.735 0.735 0.795
0.265 0.265 0.205
0.000 0.000 0.000
0.500 0.500 0.500
```

Stability summary - winner: x; margin: 28.0 kJ/mol of atoms.

## w
DFT (PBE) results for ScPa2S6 after structural relaxation.

Structure (POSCAR):
```
ScPa2S6
1.0
-1.530 6.039 0.538
-6.062 -1.528 -0.094
0.079 -1.041 11.901
Sc Pa S
2 4 12
Direct
0.000 0.000 0.000
0.500 0.500 0.500
0.000 0.000 0.668
0.500 0.500 0.832
0.000 0.000 0.332
0.500 0.500 0.168
0.694 0.694 0.339
0.806 0.194 0.161
0.306 0.306 0.661
0.806 0.194 0.839
0.194 0.806 0.161
0.694 0.694 0.661
0.306 0.306 0.339
0.699 0.699 0.000
0.199 0.801 0.500
0.801 0.199 0.500
0.301 0.301 0.000
0.194 0.806 0.839
```

## x
DFT (PBE) results for ScPa2S6 after structural relaxation.

Structure (POSCAR):
```
ScPa2S6
1.0
6.309 0.000 -1.075
0.000 6.784 0.000
0.271 0.000 9.499
S Pa Sc
12 4 2
Direct
0.174 0.320 0.409
0.816 0.931 0.253
0.681 0.187 0.558
0.319 0.813 0.442
0.674 0.180 0.909
0.826 0.680 0.591
0.326 0.820 0.091
0.181 0.313 0.058
0.316 0.569 0.753
0.184 0.069 0.747
0.819 0.687 0.942
0.684 0.431 0.247
0.948 0.385 0.779
0.552 0.885 0.721
0.052 0.615 0.221
0.448 0.115 0.279
0.000 0.000 0.500
0.500 0.500 0.000
```

Stability summary - winner: x; margin: 5.6 kJ/mol of atoms.

## w
DFT (PBE) results for Pa2Se3S after structural relaxation.

Structure (POSCAR):
```
Pa2Se3S
1.0
-2.530 6.036 -1.876
-0.412 -2.296 -6.831
-4.760 -4.129 5.489
S Se Pa
2 6 4
Direct
0.000 0.000 0.000
0.000 0.500 0.000
0.234 0.984 0.468
0.500 0.750 0.000
0.500 0.250 0.000
0.766 0.516 0.532
0.234 0.484 0.468
0.766 0.016 0.532
0.857 0.133 0.267
0.590 0.367 0.733
0.143 0.867 0.733
0.410 0.633 0.267
```

## x
DFT (PBE) results for Pa2Se3S after structural relaxation.

Structure (POSCAR):
```
Pa2Se3S
1.0
4.306 0.000 0.000
-2.153 7.391 -3.256
0.000 -0.664 11.019
Se S Pa
6 2 4
Direct
0.659 0.318 0.006
0.772 0.544 0.377
0.949 0.898 0.756
0.051 0.102 0.244
0.341 0.682 0.994
0.228 0.456 0.623
0.424 0.848 0.344
0.576 0.152 0.656
0.385 0.771 0.562
0.145 0.289 0.823
0.855 0.711 0.177
0.615 0.229 0.438
```

Stability summary - winner: x; margin: 12.5 kJ/mol of atoms.

## w
DFT (PBE) results for Pa2Se2S after structural relaxation.

Structure (POSCAR):
```
Pa2Se2S
1.0
3.913 0.000 0.724
1.889 3.426 0.724
0.093 0.055 10.439
S Se Pa
1 2 2
Direct
0.000 0.000 0.000
0.771 0.771 0.686
0.229 0.229 0.314
0.617 0.617 0.149
0.383 0.383 0.851
```

## x
DFT (PBE) results for Pa2Se2S after structural relaxation.

Structure (POSCAR):
```
Pa2Se2S
1.0
3.876 0.000 0.000
0.000 5.665 0.000
-1.938 -2.833 5.953
Pa Se S
2 2 1
Direct
0.339 0.839 0.677
0.661 0.161 0.323
0.343 0.343 0.686
0.657 0.657 0.314
0.000 0.000 0.000
```

Stability summary - winner: w; margin: 9.9 kJ/mol of atoms.

## w
DFT (PBE) results for Pa4Se5S2 after structural relaxation.

Structure (POSCAR):
```
Pa4Se5S2
1.0
-1.622 -0.214 3.488
3.149 -6.324 3.205
6.845 5.957 1.421
S Se Pa
2 5 4
Direct
0.257 0.368 0.883
0.743 0.632 0.117
0.176 0.977 0.329
0.500 0.000 0.000
0.824 0.023 0.671
0.471 0.396 0.338
0.529 0.604 0.662
0.148 0.275 0.571
0.852 0.725 0.429
0.910 0.269 0.090
0.090 0.731 0.910
```

## x
DFT (PBE) results for Pa4Se5S2 after structural relaxation.

Structure (POSCAR):
```
Pa4Se5S2
1.0
3.908 0.000 0.000
0.000 7.323 0.885
-1.954 -0.979 11.528
S Pa Se
2 4 5
Direct
0.437 0.549 0.875
0.563 0.451 0.125
0.672 0.570 0.345
0.984 0.285 0.967
0.328 0.430 0.655
0.016 0.715 0.033
0.134 0.826 0.268
0.500 0.000 0.000
0.866 0.174 0.732
0.211 0.312 0.423
0.789 0.688 0.577
```

Stability summary - winner: w; margin: 7.1 kJ/mol of atoms.

## w
DFT (PBE) results for Pa3Se3S2 after structural relaxation.

Structure (POSCAR):
```
Pa3Se3S2
1.0
-3.769 1.094 0.130
2.044 -0.819 6.847
3.893 13.365 0.437
Pa Se S
6 6 4
Direct
0.620 0.240 0.049
0.380 0.760 0.549
0.380 0.760 0.951
0.393 0.785 0.250
0.607 0.215 0.750
0.620 0.240 0.451
0.955 0.910 0.101
0.955 0.910 0.399
0.045 0.090 0.601
0.045 0.090 0.899
0.401 0.802 0.750
0.599 0.198 0.250
0.750 0.500 0.606
0.250 0.500 0.106
0.250 0.500 0.394
0.750 0.500 0.894
```

## x
DFT (PBE) results for Pa3Se3S2 after structural relaxation.

Structure (POSCAR):
```
Pa3Se3S2
1.0
6.159 0.000 0.000
0.000 7.127 -4.115
0.000 0.000 8.229
Pa Se S
6 6 4
Direct
0.250 0.602 0.602
0.250 0.000 0.398
0.750 0.398 0.398
0.750 0.000 0.602
0.750 0.602 0.000
0.250 0.398 0.000
0.250 0.751 0.000
0.750 0.249 0.000
0.750 0.751 0.751
0.750 0.000 0.249
0.250 0.249 0.249
0.250 0.000 0.751
0.000 0.667 0.333
0.500 0.333 0.667
0.000 0.333 0.667
0.500 0.667 0.333
```

Stability summary - winner: x; margin: 1.4 kJ/mol of atoms.